No. 1
# InGeSb2I | Alexandria | GGA-PBE | relaxed
# crystal system = tetragonal
# formation energy (no corrections) = 0.405 eV/atom
# uncorrected energy = -3.025 eV/atom
# total magnetic moment = 0.61 μB per formula unit
data_InGeSb2I
_chemical_formula_sum 'In1 Ge1 Sb2 I1'
_cell_length_a 5.4454
_cell_length_b 5.4454
_cell_length_c 5.9226
_cell_angle_alpha 90.00
_cell_angle_beta 90.00
_cell_angle_gamma 90.00
_space_group_name_H-M_alt 'P 4/m m m'
_space_group_IT_number 123
_space_group_name_Hall '-P 4 2'
loop_
_atom_site_label
_atom_site_fract_x
_atom_site_fract_y
_atom_site_fract_z
In1 0.0000 0.0000 0.0000
Ge1 0.5000 0.5000 0.5000
Sb1 0.0000 0.5000 0.5000
I1 0.5000 0.5000 0.0000



No. 2
# Ca5Hg2N2 | Alexandria | GGA-PBE | relaxed
# crystal system = monoclinic
# formation energy (no corrections) = -0.589 eV/atom
# uncorrected energy = -3.618 eV/atom
# total magnetic moment = 0.00 μB per formula unit
data_Ca5Hg2N2
_chemical_formula_sum 'Ca10 Hg4 N4'
_cell_length_a 13.5705
_cell_length_b 4.8437
_cell_length_c 7.3206
_cell_angle_alpha 90.00
_cell_angle_beta 96.20
_cell_angle_gamma 90.00
_space_group_name_H-M_alt 'C 1 2/m 1'
_space_group_IT_number 12
_space_group_name_Hall '-C 2y'
loop_
_atom_site_label
_atom_site_fract_x
_atom_site_fract_y
_atom_site_fract_z
Ca1 0.0000 0.0000 0.0000
Ca2 0.1465 0.0000 0.6004
Ca3 0.1763 0.5000 0.9605
Hg1 0.0454 0.5000 0.3225
N1 0.1600 0.0000 0.9006



No. 3
# AcSc3 | Alexandria | GGA-PBE | relaxed
# crystal system = cubic
# uncorrected energy = -5.627 eV/atom
# total magnetic moment = 0.01 μB per formula unit
data_AcSc3
_chemical_formula_sum 'Ac1 Sc3'
_cell_length_a 4.8739
_cell_length_b 4.8739
_cell_length_c 4.8739
_cell_angle_alpha 90.00
_cell_angle_beta 90.00
_cell_angle_gamma 90.00
_space_group_name_H-M_alt 'P m -3 m'
_space_group_IT_number 221
_space_group_name_Hall '-P 4 2 3'
loop_
_atom_site_label
_atom_site_fract_x
_atom_site_fract_y
_atom_site_fract_z
Ac1 0.0000 0.0000 0.0000
Sc1 0.0000 0.5000 0.5000



No. 4
# CaPmAs2Pd2 | Alexandria | GGA-PBE | relaxed
# crystal system = trigonal
# uncorrected energy = -5.495 eV/atom
# total magnetic moment = 0.00 μB per formula unit
data_CaPmAs2Pd2
_chemical_formula_sum 'Ca1 Pm1 As2 Pd2'
_cell_length_a 4.3094
_cell_length_b 4.3094
_cell_length_c 8.0495
_cell_angle_alpha 90.00
_cell_angle_beta 90.00
_cell_angle_gamma 120.00
_space_group_name_H-M_alt 'P -3 m 1'
_space_group_IT_number 164
_space_group_name_Hall '-P 3 2"'
loop_
_atom_site_label
_atom_site_fract_x
_atom_site_fract_y
_atom_site_fract_z
Ca1 0.0000 0.0000 0.0000
Pm1 0.0000 0.0000 0.5000
As1 0.3333 0.6667 0.2600
Pd1 0.3333 0.6667 0.7526



No. 5
# ZrNiGe2 | Alexandria | GGA-PBE | relaxed
# crystal system = cubic
# uncorrected energy = -6.013 eV/atom
# total magnetic moment = 0.00 μB per formula unit
data_ZrNiGe2
_chemical_formula_sum 'Zr4 Ni4 Ge8'
_cell_length_a 6.4127
_cell_length_b 6.4127
_cell_length_c 6.4127
_cell_angle_alpha 90.00
_cell_angle_beta 90.00
_cell_angle_gamma 90.00
_space_group_name_H-M_alt 'F m -3 m'
_space_group_IT_number 225
_space_group_name_Hall '-F 4 2 3'
loop_
_atom_site_label
_atom_site_fract_x
_atom_site_fract_y
_atom_site_fract_z
Zr1 0.0000 0.0000 0.0000
Ni1 0.0000 0.0000 0.5000
Ge1 0.2500 0.2500 0.2500



No. 6
# Ba2LiSN | Alexandria | GGA-PBE | relaxed
# crystal system = tetragonal
# formation energy (no corrections) = -0.961 eV/atom
# uncorrected energy = -4.604 eV/atom
# total magnetic moment = 0.00 μB per formula unit
data_Ba2LiSN
_chemical_formula_sum 'Ba2 Li1 S1 N1'
_cell_length_a 5.5378
_cell_length_b 5.5378
_cell_length_c 4.0408
_cell_angle_alpha 90.00
_cell_angle_beta 90.00
_cell_angle_gamma 90.00
_space_group_name_H-M_alt 'P 4/m m m'
_space_group_IT_number 123
_space_group_name_Hall '-P 4 2'
loop_
_atom_site_label
_atom_site_fract_x
_atom_site_fract_y
_atom_site_fract_z
Ba1 0.0000 0.5000 0.0000
Li1 0.0000 0.0000 0.5000
S1 0.5000 0.5000 0.5000
N1 0.0000 0.0000 0.0000



No. 7
# CsAgPbSe2 | Alexandria | GGA-PBE | relaxed
# crystal system = orthorhombic
# formation energy (no corrections) = -0.600 eV/atom
# uncorrected energy = -3.476 eV/atom
# total magnetic moment = 0.00 μB per formula unit
data_CsAgPbSe2
_chemical_formula_sum 'Cs4 Ag4 Pb4 Se8'
_cell_length_a 7.3881
_cell_length_b 15.8037
_cell_length_c 6.2970
_cell_angle_alpha 90.00
_cell_angle_beta 90.00
_cell_angle_gamma 90.00
_space_group_name_H-M_alt 'C m m e'
_space_group_IT_number 67
_space_group_name_Hall '-C 2a 2'
loop_
_atom_site_label
_atom_site_fract_x
_atom_site_fract_y
_atom_site_fract_z
Cs1 0.0000 0.2500 0.2350
Ag1 0.0000 0.0000 0.0000
Pb1 0.2500 0.0000 0.5000
Se1 0.0000 0.1186 0.7381



No. 8
# KMn2Te | Alexandria | GGA-PBE | relaxed
# crystal system = orthorhombic
# formation energy (no corrections) = 0.535 eV/atom
# uncorrected energy = -5.109 eV/atom
# total magnetic moment = 8.57 μB per formula unit
data_KMn2Te
_chemical_formula_sum 'K2 Mn4 Te2'
_cell_length_a 3.4114
_cell_length_b 5.5992
_cell_length_c 11.2895
_cell_angle_alpha 90.00
_cell_angle_beta 90.00
_cell_angle_gamma 90.00
_space_group_name_H-M_alt 'I m m m'
_space_group_IT_number 71
_space_group_name_Hall '-I 2 2'
loop_
_atom_site_label
_atom_site_fract_x
_atom_site_fract_y
_atom_site_fract_z
K1 0.0000 0.0000 0.0000
Mn1 0.0000 0.5000 0.2062
Te1 0.0000 0.0000 0.5000



No. 9
# WAu | Alexandria | GGA-PBE | relaxed
# crystal system = tetragonal
# uncorrected energy = -7.812 eV/atom
# total magnetic moment = 0.00 μB per formula unit
data_WAu
_chemical_formula_sum 'W2 Au2'
_cell_length_a 2.7642
_cell_length_b 2.7642
_cell_length_c 8.8463
_cell_angle_alpha 90.00
_cell_angle_beta 90.00
_cell_angle_gamma 90.00
_space_group_name_H-M_alt 'P 4/n m m'
_space_group_IT_number 129
loop_
_space_group_symop_operation_xyz
'x,y,z'
'-x,-y,-z'
'-y+1/2,x,z'
'y+1/2,-x,-z'
'-x+1/2,-y+1/2,z'
'x+1/2,y+1/2,-z'
'y,-x+1/2,z'
'-y,x+1/2,-z'
'x+1/2,-y,-z'
'-x+1/2,y,z'
'-y,-x,-z'
'y,x,z'
'-x,y+1/2,-z'
'x,-y+1/2,z'
'y+1/2,x+1/2,-z'
'-y+1/2,-x+1/2,z'
loop_
_atom_site_label
_atom_site_fract_x
_atom_site_fract_y
_atom_site_fract_z
W1 0.2500 0.2500 0.1252
Au1 0.2500 0.2500 0.6336



No. 10
# Nd3Zn2Rh6 | Alexandria | GGA-PBE | relaxed
# crystal system = cubic
# uncorrected energy = -6.054 eV/atom
# total magnetic moment = 0.00 μB per formula unit
data_Nd3Zn2Rh6
_chemical_formula_sum 'Nd12 Zn8 Rh24'
_cell_length_a 9.4527
_cell_length_b 9.4527
_cell_length_c 9.4527
_cell_angle_alpha 90.00
_cell_angle_beta 90.00
_cell_angle_gamma 90.00
_space_group_name_H-M_alt 'I m -3 m'
_space_group_IT_number 229
_space_group_name_Hall '-I 4 2 3'
loop_
_atom_site_label
_atom_site_fract_x
_atom_site_fract_y
_atom_site_fract_z
Nd1 0.0000 0.0000 0.2899
Zn1 0.2500 0.2500 0.2500
Rh1 0.0000 0.3438 0.3438



No. 11
# P5Ru | Alexandria | GGA-PBE | relaxed
# crystal system = tetragonal
# uncorrected energy = -5.663 eV/atom
# total magnetic moment = 0.00 μB per formula unit
data_P5Ru
_chemical_formula_sum 'P5 Ru1'
_cell_length_a 2.9434
_cell_length_b 2.9434
_cell_length_c 9.7849
_cell_angle_alpha 90.00
_cell_angle_beta 90.00
_cell_angle_gamma 90.00
_space_group_name_H-M_alt 'P 4/m m m'
_space_group_IT_number 123
_space_group_name_Hall '-P 4 2'
loop_
_atom_site_label
_atom_site_fract_x
_atom_site_fract_y
_atom_site_fract_z
P1 0.0000 0.0000 0.0000
P2 0.0000 0.0000 0.3497
P3 0.5000 0.5000 0.1411
Ru1 0.5000 0.5000 0.5000



No. 12
# MgAs2Au | Alexandria | GGA-PBE | relaxed
# crystal system = tetragonal
# uncorrected energy = -3.560 eV/atom
# total magnetic moment = 0.00 μB per formula unit
data_MgAs2Au
_chemical_formula_sum 'Mg1 As2 Au1'
_cell_length_a 2.9611
_cell_length_b 2.9611
_cell_length_c 8.7898
_cell_angle_alpha 90.00
_cell_angle_beta 90.00
_cell_angle_gamma 90.00
_space_group_name_H-M_alt 'P 4 m m'
_space_group_IT_number 99
_space_group_name_Hall 'P 4 -2'
loop_
_atom_site_label
_atom_site_fract_x
_atom_site_fract_y
_atom_site_fract_z
Mg1 0.0000 0.0000 0.0000
As1 0.0000 0.0000 0.5378
As2 0.5000 0.5000 0.2282
Au1 0.5000 0.5000 0.7798



What did the sixth record say?
# Ba2LiSN | Alexandria | GGA-PBE | relaxed
# crystal system = tetragonal
# formation energy (no corrections) = -0.961 eV/atom
# uncorrected energy = -4.604 eV/atom
# total magnetic moment = 0.00 μB per formula unit
data_Ba2LiSN
_chemical_formula_sum 'Ba2 Li1 S1 N1'
_cell_length_a 5.5378
_cell_length_b 5.5378
_cell_length_c 4.0408
_cell_angle_alpha 90.00
_cell_angle_beta 90.00
_cell_angle_gamma 90.00
_space_group_name_H-M_alt 'P 4/m m m'
_space_group_IT_number 123
_space_group_name_Hall '-P 4 2'
loop_
_atom_site_label
_atom_site_fract_x
_atom_site_fract_y
_atom_site_fract_z
Ba1 0.0000 0.5000 0.0000
Li1 0.0000 0.0000 0.5000
S1 0.5000 0.5000 0.5000
N1 0.0000 0.0000 0.0000